[1]
Here is a geometry-optimized InHSe2 structure from Alexandria via LeMat-Bulk. Energies are from PBE.

Values from the calculation:
Calculated total energy: -52.6 eV per cell

abc: 8.4881 5.6110 9.2192
angles: 90.00 107.45 90.00
Fractional positions:
In  0.0909  0.2156  0.3709
In  0.0909  0.2844  0.8709
In  0.9091  0.7156  0.1291
In  0.9091  0.7844  0.6291
H  0.0194  0.0325  0.1896
H  0.0194  0.4675  0.6896
H  0.9806  0.5325  0.3104
H  0.9806  0.9675  0.8104
Se  0.2246  0.6016  0.0996
Se  0.2246  0.8984  0.5996
Se  0.3594  0.0844  0.8328
Se  0.3594  0.4156  0.3328
Se  0.6406  0.5844  0.6672
Se  0.6406  0.9156  0.1672
Se  0.7754  0.1016  0.4004
Se  0.7754  0.3984  0.9004

***

[2]
Here is a geometry-optimized InHSe2 structure from Alexandria via LeMat-Bulk. Energies are from PBE.

Values from the calculation:
Calculated total energy: -28.8 eV per cell

abc: 4.1526 7.0797 7.5962
angles: 93.18 90.09 90.00
Fractional positions:
In  0.0000  0.0000  0.0000
In  0.4852  0.5000  0.0000
H  0.6909  0.3185  0.6598
H  0.7918  0.8185  0.6598
Se  0.0282  0.9787  0.6639
Se  0.4545  0.4787  0.6639
Se  0.4979  0.1748  0.1623
Se  0.9881  0.6748  0.1623

***

Among the records above, which one has the lowest calculated total energy? number 1

***

Repeat the first record exactly.
Here is a geometry-optimized InHSe2 structure from Alexandria via LeMat-Bulk. Energies are from PBE.

Values from the calculation:
Calculated total energy: -52.6 eV per cell

abc: 8.4881 5.6110 9.2192
angles: 90.00 107.45 90.00
Fractional positions:
In  0.0909  0.2156  0.3709
In  0.0909  0.2844  0.8709
In  0.9091  0.7156  0.1291
In  0.9091  0.7844  0.6291
H  0.0194  0.0325  0.1896
H  0.0194  0.4675  0.6896
H  0.9806  0.5325  0.3104
H  0.9806  0.9675  0.8104
Se  0.2246  0.6016  0.0996
Se  0.2246  0.8984  0.5996
Se  0.3594  0.0844  0.8328
Se  0.3594  0.4156  0.3328
Se  0.6406  0.5844  0.6672
Se  0.6406  0.9156  0.1672
Se  0.7754  0.1016  0.4004
Se  0.7754  0.3984  0.9004

***

The highest calculated total energy belongs to which entry? number 2